Material: LuBi2Sb
Method: DFT, GGA-PBE
State: relaxed

Unit cell a=5.4710 b=5.4710 c=5.4710 alpha=60.00 beta=60.00 gamma=60.00
Last column: nearest neighbours and their distance in Å.
Element x y z (fractional)
Sb: 0.5000 0.5000 0.5000  4 Bi 3.35, 4 Lu 3.35
Bi: 0.0000 0.0000 0.0000  4 Bi 3.35, 4 Lu 3.35
Bi: 0.7500 0.7500 0.7500  4 Sb 3.35, 4 Bi 3.35
Lu: 0.2500 0.2500 0.2500  4 Sb 3.35, 4 Bi 3.35

Results
* magnetization: 0.0 μB/f.u.
* raw total energy: -17.19 eV/f.u.
* volume: 28.95 A^3/atom

***

Material: TbEr2InGa2Hg3
Method: DFT, GGA-PBE
State: relaxed

Unit cell a=4.4469 b=7.3572 c=7.3572 alpha=120.13 beta=90.00 gamma=90.00
Last column: nearest neighbours and their distance in Å.
Element x y z (fractional)
In: 0.0000 0.9980 0.9980  6 Hg 2.94-2.96, 2 Er 3.19, 1 Tb 3.20
Er: 0.0000 0.5652 0.0006  4 Ga 3.10-3.11, 2 Hg 3.13, 1 In 3.19
Er: 0.0000 0.0006 0.5652  4 Ga 3.10-3.11, 2 Hg 3.13, 1 In 3.19
Ga: 0.5000 0.3330 0.6682  3 Hg 2.73-2.75
Ga: 0.5000 0.6682 0.3330  3 Hg 2.73-2.75
Hg: 0.5000 0.0005 0.2650  2 Ga 2.73-2.74, 2 In 2.96
Hg: 0.5000 0.7355 0.7355  2 Ga 2.75, 2 In 2.94
Hg: 0.5000 0.2650 0.0005  2 Ga 2.73-2.74, 2 In 2.96
Tb: 0.0000 0.4340 0.4340  4 Ga 3.12, 2 Hg 3.14, 1 In 3.20

Results
* magnetization: 0.0 μB/f.u.
* raw total energy: -27.60 eV/f.u.
* volume: 23.13 A^3/atom

***

Material: CsHoZnSe3
Method: DFT, GGA-PBE
State: relaxed

Unit cell a=10.9810 b=4.1598 c=16.2965 alpha=90.00 beta=90.00 gamma=90.00
Last column: nearest neighbours and their distance in Å.
Element x y z (fractional)
Ho: 0.9905 0.2500 0.2488  6 Se 2.87-2.90
Ho: 0.4905 0.2500 0.2512  6 Se 2.87-2.90
Ho: 0.5095 0.7500 0.7488  6 Se 2.87-2.90
Ho: 0.0095 0.7500 0.7512  6 Se 2.87-2.90
Cs: 0.7413 0.2500 0.9950  7 Se 3.71-3.84, 2 Zn 4.13, 2 Cs 4.16
Cs: 0.2587 0.7500 0.0050  7 Se 3.71-3.84, 2 Zn 4.13, 2 Cs 4.16
Cs: 0.7587 0.7500 0.4950  7 Se 3.71-3.84, 2 Zn 4.13, 2 Cs 4.16
Cs: 0.2413 0.2500 0.5050  7 Se 3.71-3.84, 2 Zn 4.13, 2 Cs 4.16
Se: 0.4504 0.2500 0.8638  1 Zn 2.45
Se: 0.2590 0.7500 0.6935  2 Zn 2.57
Se: 0.7410 0.2500 0.3065  2 Zn 2.57
Se: 0.2410 0.2500 0.1935  2 Zn 2.57
Se: 0.5690 0.2500 0.6344  1 Zn 2.45
Se: 0.5496 0.7500 0.1362  1 Zn 2.45
Se: 0.9310 0.7500 0.1344  1 Zn 2.45
Se: 0.7590 0.7500 0.8065  2 Zn 2.57
Se: 0.0496 0.7500 0.3638  1 Zn 2.45
Se: 0.4310 0.7500 0.3656  1 Zn 2.45
Se: 0.9504 0.2500 0.6362  1 Zn 2.45
Se: 0.0690 0.2500 0.8656  1 Zn 2.45
Zn: 0.2410 0.7500 0.2863  4 Se 2.45-2.57
Zn: 0.2590 0.2500 0.7863  4 Se 2.45-2.57
Zn: 0.7410 0.7500 0.2137  4 Se 2.45-2.57
Zn: 0.7590 0.2500 0.7137  4 Se 2.45-2.57

Results
* magnetization: 0.0 μB/f.u.
* raw total energy: -25.71 eV/f.u.
* volume: 31.02 A^3/atom

***

Material: OsPd2
Method: DFT, GGA-PBE
State: relaxed

Unit cell a=5.0638 b=5.0638 c=5.0638 alpha=60.00 beta=60.00 gamma=60.00
Last column: nearest neighbours and their distance in Å.
Element x y z (fractional)
Os: 0.2500 0.2500 0.2500  12 Pd 2.97, 4 Os 3.10
Os: 0.0000 0.0000 0.0000  12 Pd 2.97, 4 Os 3.10
Pd: 0.1250 0.6250 0.6250  6 Pd 2.53
Pd: 0.6250 0.6250 0.6250  6 Pd 2.53
Pd: 0.6250 0.1250 0.6250  6 Pd 2.53
Pd: 0.6250 0.6250 0.1250  6 Pd 2.53

Results
* magnetization: 0.7 μB/f.u.
* ΔE to the lowest computed polymorph: 0.000 eV per atom
* raw total energy: -19.09 eV/f.u.
* volume: 15.30 A^3/atom

***

Material: Zr4Mo2Pb3N3
Method: DFT, GGA-PBE
State: relaxed

Unit cell a=5.8296 b=5.8528 c=14.4444 alpha=78.45 beta=90.00 gamma=60.13
Last column: nearest neighbours and their distance in Å.
Element x y z (fractional)
Zr: 0.8476 0.4566 0.5818  3 N 2.22-2.28
Zr: 0.6958 0.4566 0.0818  3 N 2.22-2.28
Zr: 0.9846 0.2221 0.9184  3 N 2.23-2.28
Zr: 0.1524 0.5434 0.4182  3 N 2.22-2.28
Zr: 0.7933 0.2221 0.4184  3 N 2.23-2.28
Zr: 0.2067 0.7779 0.5816  3 N 2.23-2.28
Zr: 0.3042 0.5434 0.9182  3 N 2.22-2.28
Zr: 0.0154 0.7779 0.0816  3 N 2.23-2.28
Mo: 0.6253 0.8991 0.9281  3 N 2.19-2.29
Mo: 0.3747 0.1009 0.0719  3 N 2.19-2.29
Mo: 0.5244 0.1009 0.5719  3 N 2.19-2.29
Mo: 0.4756 0.8991 0.4281  3 N 2.19-2.29
Pb: 0.0976 0.0000 0.2500  4 Zr 3.11-3.12, 2 Mo 3.15, 6 Pb 3.22-3.47
Pb: 0.5835 0.6813 0.7522  4 Zr 3.07-3.10, 2 Mo 3.09-3.12, 2 Pb 3.22
Pb: 0.9024 0.0000 0.7500  4 Zr 3.11-3.12, 2 Mo 3.15, 6 Pb 3.22-3.47
Pb: 0.4165 0.3187 0.2478  4 Zr 3.07-3.10, 2 Mo 3.09-3.12, 2 Pb 3.22
Pb: 0.2648 0.3187 0.7479  4 Zr 3.07-3.10, 2 Mo 3.09-3.12, 2 Pb 3.22
Pb: 0.7352 0.6813 0.2521  4 Zr 3.07-3.10, 2 Mo 3.09-3.12, 2 Pb 3.22
N: 0.5000 0.5000 0.5000  4 Zr 2.22-2.23, 2 Mo 2.29
N: 0.8444 0.8269 0.5001  2 Mo 2.19, 4 Zr 2.24-2.28
N: 0.6713 0.1731 0.0000  2 Mo 2.19-2.20, 4 Zr 2.24-2.28
N: 0.0000 0.5000 0.0000  4 Zr 2.22-2.23, 2 Mo 2.29
N: 0.3287 0.8269 0.0000  2 Mo 2.19, 4 Zr 2.24-2.28
N: 0.1556 0.1731 0.4999  2 Mo 2.19, 4 Zr 2.24-2.28

Results
* magnetization: 0.0 μB/f.u.
* raw total energy: -99.02 eV/f.u.
* volume: 17.33 A^3/atom

***

Material: CdHgGeSe3
Method: DFT, GGA-PBE
State: relaxed

Unit cell a=3.9078 b=6.9943 c=12.2203 alpha=90.00 beta=90.00 gamma=73.78
Last column: nearest neighbours and their distance in Å.
Element x y z (fractional)
Hg: 0.0000 0.0000 0.0000  4 Se 2.81
Hg: 0.0000 0.0000 0.5000  4 Se 2.81
Se: 0.3730 0.2540 0.5875  1 Cd 2.66, 2 Hg 2.81
Se: 0.3730 0.2540 0.9125  1 Cd 2.66, 2 Hg 2.81
Se: 0.1443 0.7115 0.7500  2 Cd 2.71, 2 Ge 2.74
Se: 0.6270 0.7460 0.0875  1 Cd 2.66, 2 Hg 2.81
Se: 0.8558 0.2885 0.2500  2 Cd 2.71, 2 Ge 2.74
Se: 0.6270 0.7460 0.4125  1 Cd 2.66, 2 Hg 2.81
Ge: 0.2125 0.5749 0.2500  6 Se 2.74-3.01
Ge: 0.7875 0.4251 0.7500  6 Se 2.74-3.01
Cd: 0.4951 0.0098 0.2500  4 Se 2.66-2.71
Cd: 0.5049 0.9902 0.7500  4 Se 2.66-2.71

Results
* ΔE to the lowest computed polymorph: 0.065 eV per atom
* raw total energy: -17.05 eV/f.u.
* volume: 26.73 A^3/atom

***

Material: PrErIn
Method: DFT, GGA-PBE
State: relaxed

Unit cell a=5.2563 b=5.2563 c=5.2563 alpha=60.00 beta=60.00 gamma=60.00
Last column: nearest neighbours and their distance in Å.
Element x y z (fractional)
Er: 0.2500 0.2500 0.2500  4 In 3.22
In: 0.0000 0.0000 0.0000  4 Pr 3.22, 4 Er 3.22
Pr: 0.7500 0.7500 0.7500  4 In 3.22

Results
* magnetization: 0.2 μB/f.u.
* ΔE to the lowest computed polymorph: 0.000 eV per atom
* raw total energy: -12.35 eV/f.u.
* volume: 34.23 A^3/atom

***

Material: ZnNiAsPd
Method: DFT, GGA-PBE
State: relaxed

Unit cell a=4.3073 b=4.3073 c=4.3073 alpha=60.00 beta=60.00 gamma=60.00
Last column: nearest neighbours and their distance in Å.
Element x y z (fractional)
Zn: 0.5000 0.5000 0.5000  4 Pd 2.64, 4 Ni 2.64
As: 0.0000 0.0000 0.0000  4 Ni 2.64, 4 Pd 2.64
Ni: 0.7500 0.7500 0.7500  4 Zn 2.64, 4 As 2.64
Pd: 0.2500 0.2500 0.2500  4 Zn 2.64, 4 As 2.64

Results
* magnetization: 0.0 μB/f.u.
* raw total energy: -17.46 eV/f.u.
* volume: 14.13 A^3/atom

***

Material: ZrCoSiOs
Method: DFT, GGA-PBE
State: relaxed

Unit cell a=4.3565 b=4.3565 c=4.3565 alpha=60.00 beta=60.00 gamma=60.00
Last column: nearest neighbours and their distance in Å.
Element x y z (fractional)
Os: 0.2500 0.2500 0.2500  4 Zr 2.67, 4 Si 2.67
Zr: 0.5000 0.5000 0.5000  4 Co 2.67, 4 Os 2.67
Co: 0.7500 0.7500 0.7500  4 Zr 2.67, 4 Si 2.67
Si: 0.0000 0.0000 0.0000  4 Co 2.67, 4 Os 2.67

Results
* magnetization: 1.0 μB/f.u.
* ΔE to the lowest computed polymorph: 0.000 eV per atom
* raw total energy: -33.84 eV/f.u.
* volume: 14.62 A^3/atom

***

Material: LuSiO3
Method: DFT, GGA-PBE
State: relaxed

Unit cell a=5.2278 b=5.2278 c=5.2279 alpha=63.45 beta=63.45 gamma=63.45
Last column: nearest neighbours and their distance in Å.
Element x y z (fractional)
O: 0.1951 0.8873 0.6653  1 Si 1.80
O: 0.3347 0.8051 0.1126  1 Si 1.80
O: 0.8876 0.6654 0.1946  1 Si 1.80
O: 0.1126 0.3347 0.8049  1 Si 1.80
O: 0.8054 0.1123 0.3346  1 Si 1.80
O: 0.6654 0.1948 0.8876  1 Si 1.80
Si: 0.0000 0.0000 0.0001  6 O 1.80
Si: 0.4995 0.5004 0.5002  6 O 2.20
Lu: 0.7669 0.7671 0.7671  6 O 2.16-2.36
Lu: 0.2329 0.2330 0.2330  6 O 2.16-2.36

Results
* magnetization: 0.0 μB/f.u.
* raw total energy: -37.73 eV/f.u.
* volume: 10.87 A^3/atom

***

Material: ScBeZnSn
Method: DFT, GGA-PBE
State: relaxed

Unit cell a=4.6273 b=4.6273 c=4.6273 alpha=60.00 beta=60.00 gamma=60.00
Last column: nearest neighbours and their distance in Å.
Element x y z (fractional)
Sn: 0.0000 0.0000 0.0000  4 Be 2.83, 4 Zn 2.83
Sc: 0.5000 0.5000 0.5000  4 Be 2.83, 4 Zn 2.83
Be: 0.7500 0.7500 0.7500  4 Sn 2.83, 4 Sc 2.83
Zn: 0.2500 0.2500 0.2500  4 Sn 2.83, 4 Sc 2.83

Results
* magnetization: 0.0 μB/f.u.
* ΔE to the lowest computed polymorph: 0.000 eV per atom
* raw total energy: -15.00 eV/f.u.
* volume: 17.52 A^3/atom

***

Material: BeFeCuBi
Method: DFT, GGA-PBE
State: relaxed

Unit cell a=4.4300 b=4.4300 c=4.4300 alpha=60.00 beta=60.00 gamma=60.00
Last column: nearest neighbours and their distance in Å.
Element x y z (fractional)
Be: 0.7500 0.7500 0.7500  4 Fe 2.71, 4 Bi 2.71
Bi: 0.0000 0.0000 0.0000  4 Cu 2.71, 4 Be 2.71
Fe: 0.5000 0.5000 0.5000  4 Cu 2.71, 4 Be 2.71
Cu: 0.2500 0.2500 0.2500  4 Bi 2.71, 4 Fe 2.71

Results
* magnetization: 2.2 μB/f.u.
* ΔE to the lowest computed polymorph: 0.058 eV per atom
* raw total energy: -17.13 eV/f.u.
* volume: 15.37 A^3/atom

***

Material: Cs2CdCl2F2
Method: DFT, GGA-PBE
State: relaxed

Unit cell a=8.1546 b=8.1546 c=8.1546 alpha=142.60 beta=142.60 gamma=53.93
Last column: nearest neighbours and their distance in Å.
Element x y z (fractional)
Cs: 0.3425 0.3425 0.0000  1 F 2.76
Cs: 0.6575 0.6575 0.0000  1 F 2.76
Cl: 0.0000 0.5000 0.5000  2 Cd 2.61
Cl: 0.5000 0.0000 0.5000  2 Cd 2.61
Cd: 0.0000 0.0000 0.0000  2 F 2.22
F: 0.8476 0.8476 0.0000  1 Cd 2.22
F: 0.1524 0.1524 0.0000  1 Cd 2.22

Results
* ΔE to the lowest computed polymorph: 0.073 eV per atom
* raw total energy: -24.14 eV/f.u.
* volume: 28.39 A^3/atom

***

Material: TbLuZn
Method: DFT, GGA-PBE
State: relaxed

Unit cell a=4.9021 b=4.9021 c=4.9021 alpha=60.00 beta=60.00 gamma=60.00
Last column: nearest neighbours and their distance in Å.
Element x y z (fractional)
Lu: 0.2500 0.2500 0.2500  4 Zn 3.00
Tb: 0.7500 0.7500 0.7500  4 Zn 3.00
Zn: 0.0000 0.0000 0.0000  4 Tb 3.00, 4 Lu 3.00

Results
* magnetization: 0.0 μB/f.u.
* ΔE to the lowest computed polymorph: 0.000 eV per atom
* raw total energy: -10.38 eV/f.u.
* volume: 27.77 A^3/atom

***

Material: ScInCu2
Method: DFT, GGA-PBE
State: relaxed

Unit cell a=6.1257 b=6.1391 c=7.2504 alpha=90.00 beta=90.00 gamma=90.00
Last column: nearest neighbours and their distance in Å.
Element x y z (fractional)
Cu: 0.0002 0.9993 0.7507  4 In 2.82-2.83, 4 Sc 2.82-2.83, 4 Cu 3.06-3.08
Cu: 0.9998 0.4993 0.2493  4 In 2.82-2.83, 4 Sc 2.82-2.83, 4 Cu 3.06-3.08
Cu: 0.5002 0.4993 0.7493  4 In 2.82-2.83, 4 Sc 2.82-2.83, 4 Cu 3.06-3.08
Cu: 0.9998 0.0007 0.2493  4 In 2.82-2.83, 4 Sc 2.82-2.83, 4 Cu 3.06-3.08
Cu: 0.0002 0.5007 0.7507  4 In 2.82-2.83, 4 Sc 2.82-2.83, 4 Cu 3.06-3.08
Cu: 0.5002 0.0007 0.7493  4 In 2.82-2.83, 4 Sc 2.82-2.83, 4 Cu 3.06-3.08
Cu: 0.4998 0.5007 0.2507  4 In 2.82-2.83, 4 Sc 2.82-2.83, 4 Cu 3.06-3.08
Cu: 0.4998 0.9993 0.2507  4 In 2.82-2.83, 4 Sc 2.82-2.83, 4 Cu 3.06-3.08
Sc: 0.2491 0.7500 0.5000  8 Cu 2.82-2.83, 4 In 3.06-3.07
Sc: 0.2509 0.7500 0.0000  8 Cu 2.82-2.83, 4 In 3.06-3.07
Sc: 0.7491 0.2500 0.0000  8 Cu 2.82-2.83, 4 In 3.06-3.07
Sc: 0.7509 0.2500 0.5000  8 Cu 2.82-2.83, 4 In 3.06-3.07
In: 0.7498 0.7500 0.5001  8 Cu 2.82-2.83, 4 Sc 3.06-3.07
In: 0.7502 0.7500 0.0000  8 Cu 2.82-2.83, 4 Sc 3.06-3.07
In: 0.2502 0.2500 0.4999  8 Cu 2.82-2.83, 4 Sc 3.06-3.07
In: 0.2498 0.2500 0.0000  8 Cu 2.82-2.83, 4 Sc 3.06-3.07

Results
* magnetization: 0.0 μB/f.u.
* raw total energy: -17.13 eV/f.u.
* volume: 17.04 A^3/atom

***

Material: NpNiAu
Method: DFT, GGA-PBE
State: relaxed

Unit cell a=4.3736 b=4.3736 c=4.3736 alpha=60.00 beta=60.00 gamma=60.00
Last column: nearest neighbours and their distance in Å.
Element x y z (fractional)
Np: 0.5000 0.5000 0.5000  4 Ni 2.68
Ni: 0.2500 0.2500 0.2500  4 Np 2.68, 4 Au 2.68
Au: 0.0000 0.0000 0.0000  4 Ni 2.68

Results
* magnetization: 0.0 μB/f.u.
* raw total energy: -20.55 eV/f.u.
* volume: 19.72 A^3/atom

***

Material: Li2Zr2Co2SnGe
Method: DFT, GGA-PBE
State: relaxed

Unit cell a=4.3714 b=4.3714 c=6.1965 alpha=90.00 beta=90.00 gamma=90.00
Last column: nearest neighbours and their distance in Å.
Element x y z (fractional)
Sn: 0.5000 0.5000 0.5000  4 Co 2.71, 4 Li 2.73
Li: 0.0000 0.5000 0.2361  4 Zr 2.63-2.73, 2 Ge 2.63, 2 Sn 2.73
Li: 0.5000 0.0000 0.7639  4 Zr 2.63-2.73, 2 Ge 2.63, 2 Sn 2.73
Zr: 0.5000 0.5000 0.0000  4 Li 2.63, 4 Co 2.64
Zr: 0.0000 0.0000 0.5000  4 Co 2.71, 4 Li 2.73
Co: 0.5000 0.0000 0.2403  4 Zr 2.64-2.71, 2 Ge 2.64, 2 Sn 2.71, 1 Li 2.95
Co: 0.0000 0.5000 0.7597  4 Zr 2.64-2.71, 2 Ge 2.64, 2 Sn 2.71, 1 Li 2.95
Ge: 0.0000 0.0000 0.0000  4 Li 2.63, 4 Co 2.64

Results
* magnetization: 0.0 μB/f.u.
* raw total energy: -47.74 eV/f.u.
* volume: 14.80 A^3/atom

***

Material: AlAuSeO
Method: DFT, GGA-PBE
State: relaxed

Unit cell a=5.8642 b=5.1840 c=10.2897 alpha=90.00 beta=80.49 gamma=90.00
Last column: nearest neighbours and their distance in Å.
Element x y z (fractional)
O: 0.8610 0.4709 0.9940  3 Al 1.79-1.96
O: 0.3671 0.4978 0.9997  3 Al 1.82-1.90
O: 0.6329 0.9978 0.0003  3 Al 1.82-1.90
O: 0.1390 0.9709 0.0060  3 Al 1.79-1.96
Se: 0.6741 0.6579 0.2575  2 Al 2.41-2.62, 2 Au 2.42-2.51
Se: 0.6857 0.5856 0.7262  2 Au 2.39-2.44, 1 Al 2.56
Se: 0.3259 0.1579 0.7425  2 Al 2.41-2.62, 2 Au 2.42-2.51
Se: 0.3143 0.0856 0.2738  2 Au 2.39-2.44, 1 Al 2.56
Au: 0.0112 0.8640 0.7246  2 Se 2.39-2.42
Au: 0.6265 0.6949 0.5038  2 Se 2.44-2.51
Au: 0.9888 0.3640 0.2754  2 Se 2.39-2.42
Au: 0.3735 0.1949 0.4962  2 Se 2.44-2.51
Al: 0.4268 0.8212 0.9137  3 O 1.86-1.96
Al: 0.5732 0.3212 0.0863  3 O 1.86-1.96
Al: 0.1319 0.3077 0.9543  3 O 1.79-1.83
Al: 0.8681 0.8077 0.0457  3 O 1.79-1.83

Results
* ΔE to the lowest computed polymorph: 0.000 eV per atom
* raw total energy: -20.49 eV/f.u.
* volume: 19.28 A^3/atom

***

Material: MgNiSnMo
Method: DFT, GGA-PBE
State: relaxed

Unit cell a=4.5220 b=4.5220 c=4.5220 alpha=60.00 beta=60.00 gamma=60.00
Last column: nearest neighbours and their distance in Å.
Element x y z (fractional)
Mo: 0.2500 0.2500 0.2500  4 Sn 2.77, 4 Mg 2.77
Mg: 0.5000 0.5000 0.5000  4 Ni 2.77, 4 Mo 2.77
Sn: 0.0000 0.0000 0.0000  4 Ni 2.77, 4 Mo 2.77
Ni: 0.7500 0.7500 0.7500  4 Mg 2.77, 4 Sn 2.77

Results
* magnetization: 0.9 μB/f.u.
* ΔE to the lowest computed polymorph: 0.000 eV per atom
* raw total energy: -21.14 eV/f.u.
* volume: 16.35 A^3/atom

***

Material: LiAgF2
Method: DFT, GGA-PBE
State: relaxed

Unit cell a=3.2567 b=3.2567 c=4.5986 alpha=90.00 beta=90.00 gamma=90.00
Last column: nearest neighbours and their distance in Å.
Element x y z (fractional)
F: 0.5000 0.5000 0.0000  2 Li 2.30, 4 Ag 2.30
F: 0.0000 0.0000 0.5000  2 Ag 2.30, 4 Li 2.30
Ag: 0.0000 0.0000 0.0000  6 F 2.30
Li: 0.5000 0.5000 0.5000  6 F 2.30

Results
* ΔE to the lowest computed polymorph: 0.000 eV per atom
* raw total energy: -15.42 eV/f.u.
* volume: 12.19 A^3/atom